Compound: Pm4TlHg
Source: Alexandria
Functional: PBE
Structure: relaxed

a = 3.764 Å, b = 5.795 Å, c = 8.964 Å
α = 90.00°, β = 90.00°, γ = 90.00°
Atoms (fractional coordinates):
1 Pm 0.000 0.000 0.203
2 Pm 0.000 0.000 0.797
3 Pm 0.500 0.500 0.287
4 Pm 0.500 0.500 0.713
5 Tl 0.500 0.000 0.500
6 Hg 0.000 0.500 0.000

Results
formation enthalpy at 0 K = -69 meV per atom
total DFT energy (no corrections) = -22.08 eV per formula unit
magnetization = 0.0 μB/f.u.
energy above the lowest structure with this stoichiometry = 0.017 eV per formula unit

***

Compound: Pm2TlHg9
Source: Alexandria
Functional: PBE
Structure: relaxed

a = 4.645 Å, b = 4.645 Å, c = 14.600 Å
α = 90.00°, β = 90.00°, γ = 90.00°
Atoms (fractional coordinates):
1 Pm 0.000 0.000 0.169
2 Pm 0.000 0.000 0.831
3 Tl 0.000 0.000 0.500
4 Hg 0.000 0.500 0.000
5 Hg 0.000 0.500 0.325
6 Hg 0.000 0.500 0.675
7 Hg 0.500 0.000 0.000
8 Hg 0.500 0.000 0.325
9 Hg 0.500 0.000 0.675
10 Hg 0.500 0.500 0.151
11 Hg 0.500 0.500 0.500
12 Hg 0.500 0.500 0.849

Results
formation enthalpy at 0 K = -241 meV per atom
total DFT energy (no corrections) = -17.48 eV per formula unit
magnetization = 0.0 μB/f.u.

***

Compound: Pm4Tl2Hg3
Source: Alexandria
Functional: PBE
Structure: relaxed

a = 5.911 Å, b = 5.911 Å, c = 9.722 Å
α = 106.79°, β = 106.79°, γ = 50.77°
Atoms (fractional coordinates):
1 Pm 0.052 0.052 0.345
2 Pm 0.351 0.351 0.107
3 Pm 0.649 0.649 0.893
4 Pm 0.948 0.948 0.655
5 Tl 0.294 0.294 0.751
6 Tl 0.706 0.706 0.249
7 Hg 0.000 0.000 0.000
8 Hg 0.358 0.358 0.436
9 Hg 0.642 0.642 0.564

Results
formation enthalpy at 0 K = -353 meV per atom
total DFT energy (no corrections) = -27.82 eV per formula unit
magnetization = 0.3 μB/f.u.
energy above the lowest structure with this stoichiometry = 0.000 eV per formula unit

***

Compound: Pm4TlHg7
Source: Alexandria
Functional: PBE
Structure: relaxed

a = 7.105 Å, b = 7.105 Å, c = 11.269 Å
α = 119.25°, β = 119.25°, γ = 46.00°
Atoms (fractional coordinates):
1 Pm 0.084 0.084 0.277
2 Pm 0.245 0.245 0.831
3 Pm 0.755 0.755 0.169
4 Pm 0.916 0.916 0.723
5 Tl 0.500 0.500 0.500
6 Hg 0.000 0.000 0.500
7 Hg 0.135 0.135 0.032
8 Hg 0.297 0.297 0.587
9 Hg 0.428 0.428 0.159
10 Hg 0.572 0.572 0.841
11 Hg 0.703 0.703 0.413
12 Hg 0.865 0.865 0.968

Results
formation enthalpy at 0 K = -265 meV per atom
total DFT energy (no corrections) = -26.66 eV per formula unit
magnetization = 0.0 μB/f.u.

***

Compound: Pm8Tl2Hg
Source: Alexandria
Functional: PBE
Structure: relaxed

a = 8.794 Å, b = 8.794 Å, c = 8.831 Å
α = 119.70°, β = 119.70°, γ = 36.41°
Atoms (fractional coordinates):
1 Pm 0.068 0.068 0.218
2 Pm 0.134 0.134 0.680
3 Pm 0.321 0.321 0.555
4 Pm 0.410 0.410 0.057
5 Pm 0.590 0.590 0.943
6 Pm 0.679 0.679 0.445
7 Pm 0.866 0.866 0.320
8 Pm 0.932 0.932 0.782
9 Tl 0.227 0.227 0.121
10 Tl 0.773 0.773 0.879
11 Hg 0.500 0.500 0.500

Results
formation enthalpy at 0 K = -207 meV per atom
total DFT energy (no corrections) = -45.32 eV per formula unit
magnetization = 0.0 μB/f.u.
energy above the lowest structure with this stoichiometry = 0.000 eV per formula unit

***

Compound: Pm5TlHg3
Source: Alexandria
Functional: PBE
Structure: relaxed

a = 9.403 Å, b = 9.403 Å, c = 6.822 Å
α = 90.00°, β = 90.00°, γ = 120.00°
Atoms (fractional coordinates):
1 Pm 0.000 0.297 0.250
2 Pm 0.000 0.703 0.750
3 Pm 0.297 0.000 0.250
4 Pm 0.297 0.297 0.750
5 Pm 0.333 0.667 0.000
6 Pm 0.333 0.667 0.500
7 Pm 0.667 0.333 0.000
8 Pm 0.667 0.333 0.500
9 Pm 0.703 0.000 0.750
10 Pm 0.703 0.703 0.250
11 Tl 0.000 0.000 0.000
12 Tl 0.000 0.000 0.500
13 Hg 0.000 0.370 0.750
14 Hg 0.000 0.630 0.250
15 Hg 0.370 0.000 0.750
16 Hg 0.370 0.370 0.250
17 Hg 0.630 0.000 0.250
18 Hg 0.630 0.630 0.750

Results
formation enthalpy at 0 K = -371 meV per atom
total DFT energy (no corrections) = -30.37 eV per formula unit
magnetization = 0.0 μB/f.u.

***

Compound: Pm11Tl4Hg9
Source: Alexandria
Functional: PBE
Structure: relaxed

a = 13.682 Å, b = 13.682 Å, c = 3.741 Å
α = 90.00°, β = 90.00°, γ = 105.61°
Atoms (fractional coordinates):
1 Pm 0.000 0.000 0.000
2 Pm 0.062 0.405 0.000
3 Pm 0.184 0.816 0.000
4 Pm 0.224 0.224 0.000
5 Pm 0.360 0.640 0.000
6 Pm 0.405 0.062 0.000
7 Pm 0.595 0.938 0.000
8 Pm 0.640 0.360 0.000
9 Pm 0.776 0.776 0.000
10 Pm 0.816 0.184 0.000
11 Pm 0.938 0.595 0.000
12 Tl 0.269 0.431 0.500
13 Tl 0.431 0.269 0.500
14 Tl 0.569 0.731 0.500
15 Tl 0.731 0.569 0.500
16 Hg 0.016 0.199 0.500
17 Hg 0.148 0.613 0.500
18 Hg 0.199 0.016 0.500
19 Hg 0.387 0.852 0.500
20 Hg 0.500 0.500 0.500
21 Hg 0.613 0.148 0.500
22 Hg 0.801 0.984 0.500
23 Hg 0.852 0.387 0.500
24 Hg 0.984 0.801 0.500

Results
formation enthalpy at 0 K = -396 meV per atom
total DFT energy (no corrections) = -73.93 eV per formula unit
magnetization = 1.5 μB/f.u.

***

Compound: Pm4Tl2Hg3
Source: Alexandria
Functional: PBE
Structure: relaxed

a = 8.837 Å, b = 8.837 Å, c = 9.188 Å
α = 90.00°, β = 90.00°, γ = 130.67°
Atoms (fractional coordinates):
1 Pm 0.189 0.811 0.956
2 Pm 0.224 0.276 0.750
3 Pm 0.276 0.224 0.250
4 Pm 0.311 0.689 0.456
5 Pm 0.689 0.311 0.544
6 Pm 0.724 0.776 0.750
7 Pm 0.776 0.724 0.250
8 Pm 0.811 0.189 0.044
9 Tl 0.113 0.887 0.560
10 Tl 0.387 0.613 0.060
11 Tl 0.613 0.387 0.940
12 Tl 0.887 0.113 0.440
13 Hg 0.000 0.000 0.000
14 Hg 0.032 0.468 0.750
15 Hg 0.468 0.032 0.250
16 Hg 0.500 0.500 0.500
17 Hg 0.532 0.968 0.750
18 Hg 0.968 0.532 0.250

Results
formation enthalpy at 0 K = -278 meV per atom
total DFT energy (no corrections) = -27.15 eV per formula unit
magnetization = 0.0 μB/f.u.
energy above the lowest structure with this stoichiometry = 0.670 eV per formula unit

***

Compound: Pm4Tl3Hg
Source: Alexandria
Functional: PBE
Structure: relaxed

a = 4.433 Å, b = 4.635 Å, c = 11.848 Å
α = 90.00°, β = 90.00°, γ = 90.00°
Atoms (fractional coordinates):
1 Pm 0.000 0.000 0.000
2 Pm 0.000 0.500 0.272
3 Pm 0.500 0.000 0.492
4 Pm 0.500 0.500 0.774
5 Tl 0.000 0.000 0.724
6 Tl 0.000 0.500 0.546
7 Tl 0.500 0.500 0.046
8 Hg 0.500 0.000 0.224

Results
formation enthalpy at 0 K = -355 meV per atom
total DFT energy (no corrections) = -29.24 eV per formula unit
magnetization = 0.0 μB/f.u.
energy above the lowest structure with this stoichiometry = 0.402 eV per formula unit

***

Compound: PmTl2Hg5
Source: Alexandria
Functional: PBE
Structure: relaxed

a = 8.773 Å, b = 8.773 Å, c = 8.773 Å
α = 123.63°, β = 123.63°, γ = 83.83°
Atoms (fractional coordinates):
1 Pm 0.250 0.250 0.000
2 Pm 0.750 0.750 0.000
3 Tl 0.152 0.652 0.804
4 Tl 0.348 0.152 0.500
5 Tl 0.652 0.848 0.500
6 Tl 0.848 0.348 0.196
7 Hg 0.000 0.000 0.000
8 Hg 0.023 0.820 0.500
9 Hg 0.180 0.680 0.203
10 Hg 0.320 0.523 0.500
11 Hg 0.477 0.977 0.797
12 Hg 0.500 0.500 0.000
13 Hg 0.523 0.023 0.203
14 Hg 0.680 0.477 0.500
15 Hg 0.820 0.320 0.797
16 Hg 0.977 0.180 0.500

Results
formation enthalpy at 0 K = -112 meV per atom
total DFT energy (no corrections) = -11.89 eV per formula unit
magnetization = 0.0 μB/f.u.
energy above the lowest structure with this stoichiometry = 0.672 eV per formula unit

***

Compound: Pm2Tl3Hg2
Source: Alexandria
Functional: PBE
Structure: relaxed

a = 6.076 Å, b = 6.076 Å, c = 7.015 Å
α = 90.36°, β = 90.36°, γ = 48.11°
Atoms (fractional coordinates):
1 Pm 0.104 0.104 0.281
2 Pm 0.896 0.896 0.719
3 Tl 0.200 0.200 0.821
4 Tl 0.500 0.500 0.000
5 Tl 0.800 0.800 0.179
6 Hg 0.380 0.380 0.417
7 Hg 0.620 0.620 0.583

Results
formation enthalpy at 0 K = -279 meV per atom
total DFT energy (no corrections) = -19.16 eV per formula unit
magnetization = 0.0 μB/f.u.

***

Compound: Pm2TlHg8
Source: Alexandria
Functional: PBE
Structure: relaxed

a = 4.889 Å, b = 7.424 Å, c = 8.554 Å
α = 108.08°, β = 106.45°, γ = 90.03°
Atoms (fractional coordinates):
1 Pm 0.000 0.000 0.000
2 Pm 0.297 0.384 0.593
3 Tl 0.743 0.654 0.485
4 Hg 0.111 0.461 0.221
5 Hg 0.181 0.916 0.360
6 Hg 0.362 0.857 0.725
7 Hg 0.479 0.287 0.957
8 Hg 0.542 0.742 0.086
9 Hg 0.649 0.186 0.298
10 Hg 0.822 0.109 0.644
11 Hg 0.933 0.537 0.866

Results
formation enthalpy at 0 K = -247 meV per atom
total DFT energy (no corrections) = -17.00 eV per formula unit
magnetization = 0.0 μB/f.u.
energy above the lowest structure with this stoichiometry = 0.000 eV per formula unit

***

Compound: PmTl2Hg
Source: Alexandria
Functional: PBE
Structure: relaxed

a = 5.388 Å, b = 5.388 Å, c = 5.388 Å
α = 60.00°, β = 60.00°, γ = 60.00°
Atoms (fractional coordinates):
1 Pm 0.000 0.000 0.000
2 Tl 0.250 0.250 0.250
3 Tl 0.750 0.750 0.750
4 Hg 0.500 0.500 0.500

Results
formation enthalpy at 0 K = -153 meV per atom
total DFT energy (no corrections) = -10.40 eV per formula unit
magnetization = 0.0 μB/f.u.
energy above the lowest structure with this stoichiometry = 0.635 eV per formula unit

***

Compound: PmTlHg2
Source: Alexandria
Functional: PBE
Structure: relaxed

a = 4.842 Å, b = 4.842 Å, c = 4.484 Å
α = 90.00°, β = 90.00°, γ = 90.00°
Atoms (fractional coordinates):
1 Pm 0.000 0.000 0.000
2 Tl 0.500 0.500 0.000
3 Hg 0.000 0.500 0.500
4 Hg 0.500 0.000 0.500

Results
formation enthalpy at 0 K = -332 meV per atom
total DFT energy (no corrections) = -9.05 eV per formula unit
magnetization = 0.0 μB/f.u.

***

Compound: Pm3Tl2Hg2
Source: Alexandria
Functional: PBE
Structure: relaxed

a = 5.201 Å, b = 5.356 Å, c = 8.939 Å
α = 101.23°, β = 90.17°, γ = 118.79°
Atoms (fractional coordinates):
1 Pm 0.000 0.000 0.000
2 Pm 0.275 0.557 0.700
3 Pm 0.725 0.443 0.300
4 Tl 0.363 0.721 0.145
5 Tl 0.637 0.279 0.855
6 Hg 0.069 0.127 0.362
7 Hg 0.931 0.873 0.638

Results
formation enthalpy at 0 K = -332 meV per atom
total DFT energy (no corrections) = -21.91 eV per formula unit
magnetization = 0.0 μB/f.u.

***

Compound: Pm2Tl4Hg
Source: Alexandria
Functional: PBE
Structure: relaxed

a = 7.664 Å, b = 7.664 Å, c = 7.664 Å
α = 134.71°, β = 134.71°, γ = 65.99°
Atoms (fractional coordinates):
1 Pm 0.145 0.145 0.000
2 Pm 0.855 0.855 0.000
3 Tl 0.000 0.500 0.500
4 Tl 0.250 0.750 0.500
5 Tl 0.500 0.000 0.500
6 Tl 0.750 0.250 0.500
7 Hg 0.500 0.500 0.000

Results
formation enthalpy at 0 K = -41 meV per atom
total DFT energy (no corrections) = -19.56 eV per formula unit
magnetization = 0.0 μB/f.u.

***

Compound: PmTlHg2
Source: Alexandria
Functional: PBE
Structure: relaxed

a = 9.360 Å, b = 9.360 Å, c = 9.360 Å
α = 23.95°, β = 23.95°, γ = 23.95°
Atoms (fractional coordinates):
1 Pm 0.000 0.000 0.000
2 Tl 0.833 0.833 0.833
3 Hg 0.417 0.417 0.417
4 Hg 0.583 0.583 0.583

Results
formation enthalpy at 0 K = -173 meV per atom
total DFT energy (no corrections) = -8.41 eV per formula unit
magnetization = 0.0 μB/f.u.

***

Compound: PmTlHg
Source: Alexandria
Functional: PBE
Structure: relaxed

a = 6.489 Å, b = 6.489 Å, c = 6.489 Å
α = 146.59°, β = 146.59°, γ = 47.97°
Atoms (fractional coordinates):
1 Pm 0.000 0.000 0.000
2 Tl 0.320 0.320 0.000
3 Hg 0.660 0.660 0.000

Results
formation enthalpy at 0 K = -283 meV per atom
total DFT energy (no corrections) = -8.27 eV per formula unit
magnetization = 0.0 μB/f.u.
energy above the lowest structure with this stoichiometry = 0.349 eV per formula unit

***

Compound: Pm11Tl9Hg4
Source: Alexandria
Functional: PBE
Structure: relaxed

a = 13.931 Å, b = 13.931 Å, c = 3.859 Å
α = 90.00°, β = 90.00°, γ = 112.76°
Atoms (fractional coordinates):
1 Pm 0.000 0.000 0.000
2 Pm 0.066 0.412 0.000
3 Pm 0.163 0.837 0.000
4 Pm 0.282 0.282 0.000
5 Pm 0.356 0.644 0.000
6 Pm 0.412 0.066 0.000
7 Pm 0.588 0.934 0.000
8 Pm 0.644 0.356 0.000
9 Pm 0.718 0.718 0.000
10 Pm 0.837 0.163 0.000
11 Pm 0.934 0.588 0.000
12 Tl 0.057 0.210 0.500
13 Tl 0.146 0.632 0.500
14 Tl 0.210 0.057 0.500
15 Tl 0.368 0.854 0.500
16 Tl 0.500 0.500 0.500
17 Tl 0.632 0.146 0.500
18 Tl 0.790 0.943 0.500
19 Tl 0.854 0.368 0.500
20 Tl 0.943 0.790 0.500
21 Hg 0.255 0.450 0.500
22 Hg 0.450 0.255 0.500
23 Hg 0.550 0.745 0.500
24 Hg 0.745 0.550 0.500

Results
formation enthalpy at 0 K = -385 meV per atom
total DFT energy (no corrections) = -84.00 eV per formula unit
magnetization = 0.0 μB/f.u.

***

Compound: Pm2TlHg2
Source: Alexandria
Functional: PBE
Structure: relaxed

a = 6.296 Å, b = 6.296 Å, c = 10.385 Å
α = 110.88°, β = 110.88°, γ = 46.97°
Atoms (fractional coordinates):
1 Pm 0.045 0.045 0.346
2 Pm 0.176 0.176 0.071
3 Pm 0.824 0.824 0.929
4 Pm 0.955 0.955 0.654
5 Tl 0.259 0.259 0.707
6 Tl 0.741 0.741 0.293
7 Hg 0.362 0.362 0.438
8 Hg 0.464 0.464 0.128
9 Hg 0.536 0.536 0.872
10 Hg 0.638 0.638 0.562

Results
formation enthalpy at 0 K = -357 meV per atom
total DFT energy (no corrections) = -14.26 eV per formula unit
magnetization = 0.0 μB/f.u.
energy above the lowest structure with this stoichiometry = 0.208 eV per formula unit

***

| no. | calculated volume (Å³/atom) |
| --- | --- |
| 1 | 32.6 |
| 2 | 26.3 |
| 3 | 27.7 |
| 4 | 28.9 |
| 5 | 31.4 |
| 6 | 29.0 |
| 7 | 28.1 |
| 8 | 30.2 |
| 9 | 30.4 |
| 10 | 28.0 |
| 11 | 27.5 |
| 12 | 25.6 |
| 13 | 27.6 |
| 14 | 26.3 |
| 15 | 30.4 |
| 16 | 32.0 |
| 17 | 29.7 |
| 18 | 27.5 |
| 19 | 28.8 |
| 20 | 27.7 |